Record 1
## Rb3Na12Au5 (GGA-PBE)

Data for a geometry-optimized Rb3Na12Au5 structure.

Values from the calculation:
Symmetry: Ia-3d (230)
Total DFT energy (no corrections), eV/atom: -1.77
DOS at the Fermi energy, states/eV per atom: 0.468
Energy of formation from the pure elements, eV/atom: -0.012

Lattice parameters (Å, degrees): 16.760 16.760 16.760 109.47 109.47 109.47
Positions (direct):
Rb  0.750  0.375  0.125
Rb  0.875  0.750  0.125
Rb  0.375  0.750  0.625
Rb  0.250  0.125  0.375
Rb  0.875  0.125  0.250
Rb  0.375  0.625  0.250
Rb  0.625  0.375  0.750
Rb  0.125  0.875  0.750
Rb  0.750  0.875  0.625
Rb  0.625  0.250  0.375
Rb  0.125  0.250  0.875
Rb  0.250  0.625  0.875
Au  0.125  0.375  0.250
Au  0.000  0.500  0.000
Au  0.000  0.000  0.000
Au  0.375  0.250  0.125
Au  0.500  0.000  0.500
Au  0.500  0.500  0.000
Au  0.125  0.750  0.375
Au  0.750  0.125  0.875
Au  0.750  0.625  0.375
Au  0.375  0.125  0.750
Au  0.625  0.875  0.250
Au  0.500  0.500  0.500
Au  0.500  0.000  0.000
Au  0.000  0.000  0.500
Au  0.250  0.375  0.625
Au  0.250  0.875  0.125
Au  0.000  0.500  0.500
Au  0.875  0.250  0.625
Au  0.625  0.750  0.875
Au  0.875  0.625  0.750
Na  0.670  0.048  0.975
Na  0.305  0.475  0.427
Na  0.025  0.452  0.330
Na  0.475  0.170  0.048
Na  0.623  0.670  0.695
Na  0.025  0.573  0.195
Na  0.305  0.830  0.377
Na  0.073  0.877  0.048
Na  0.573  0.025  0.695
Na  0.670  0.623  0.195
Na  0.830  0.525  0.452
Na  0.805  0.927  0.975
Na  0.048  0.670  0.475
Na  0.452  0.427  0.123
Na  0.123  0.927  0.452
Na  0.377  0.048  0.573
Na  0.123  0.195  0.170
Na  0.525  0.695  0.073
Na  0.805  0.877  0.330
Na  0.048  0.377  0.073
Na  0.452  0.025  0.830
Na  0.573  0.548  0.377
Na  0.927  0.805  0.475
Na  0.830  0.305  0.877
Na  0.427  0.452  0.623
Na  0.073  0.195  0.525
Na  0.170  0.695  0.123
Na  0.195  0.123  0.670
Na  0.548  0.975  0.170
Na  0.952  0.623  0.927
Na  0.475  0.305  0.927
Na  0.623  0.952  0.427
Na  0.877  0.805  0.830
Na  0.877  0.073  0.548
Na  0.952  0.330  0.525
Na  0.195  0.073  0.025
Na  0.548  0.573  0.877
Na  0.427  0.975  0.305
Na  0.330  0.377  0.805
Na  0.170  0.475  0.548
Na  0.927  0.123  0.952
Na  0.695  0.170  0.623
Na  0.525  0.830  0.952
Na  0.975  0.427  0.805
Na  0.377  0.330  0.305
Na  0.975  0.548  0.670
Na  0.695  0.525  0.573
Na  0.330  0.952  0.025

---

Record 2
## RbNaAu2 (GGA-PBE)

Data for a geometry-optimized RbNaAu2 structure.

Values from the calculation:
Symmetry: R-3m (166)
Total DFT energy (no corrections), eV/atom: -2.48
DOS at the Fermi energy, states/eV per atom: 0.219
Energy of formation from the pure elements, eV/atom: -0.272

Lattice parameters (Å, degrees): 4.994 4.995 6.601 67.79 67.78 60.01
Positions (direct):
Rb  0.500  0.000  0.000
Na  0.000  0.500  0.500
Au  0.697  0.197  0.408
Au  0.303  0.803  0.592

---

Record 3
## RbNaAu2 (GGA-PBE)

Data for a geometry-optimized RbNaAu2 structure.

Values from the calculation:
Symmetry: P6_3/mmc (194)
Total DFT energy (no corrections), eV/atom: -2.41
Energy of formation from the pure elements, eV/atom: -0.197

Lattice parameters (Å, degrees): 4.591 4.591 15.384 90.00 90.00 120.00
Positions (direct):
Rb  0.000  0.000  0.000
Rb  0.000  0.000  0.500
Na  0.333  0.667  0.250
Na  0.667  0.333  0.750
Au  0.333  0.667  0.847
Au  0.667  0.333  0.153
Au  0.667  0.333  0.347
Au  0.333  0.667  0.653

---

Record 4
## RbNaAu (GGA-PBE)

Data for a geometry-optimized RbNaAu structure.

Values from the calculation:
Symmetry: F-43m (216)
Total DFT energy (no corrections), eV/atom: -1.96
DOS at the Fermi energy, states/eV per atom: 1.022
Energy of formation from the pure elements, eV/atom: -0.109

Lattice parameters (Å, degrees): 5.557 5.557 5.557 60.00 60.00 60.00
Positions (direct):
Na  0.500  0.500  0.500
Au  0.250  0.250  0.250
Rb  0.000  0.000  0.000

---

Record 5
## Rb2Na2Au3 (GGA-PBE)

Data for a geometry-optimized Rb2Na2Au3 structure.

Values from the calculation:
Symmetry: C2/m (12)
Total DFT energy (no corrections), eV/atom: -2.33
DOS at the Fermi energy, states/eV per atom: 0.258
Energy of formation from the pure elements, eV/atom: -0.270

Lattice parameters (Å, degrees): 5.197 6.772 7.174 71.67 68.77 67.44
Positions (direct):
Rb  0.820  0.785  0.575
Rb  0.180  0.215  0.425
Na  0.863  0.284  0.990
Na  0.137  0.716  0.010
Au  0.500  0.000  0.000
Au  0.539  0.623  0.299
Au  0.461  0.377  0.701

---

Record 6
## Rb4NaAu (GGA-PBE)

Data for a geometry-optimized Rb4NaAu structure.

Values from the calculation:
Symmetry: I4/mcm (140)
Total DFT energy (no corrections), eV/atom: -1.47
DOS at the Fermi energy, states/eV per atom: 0.667
Energy of formation from the pure elements, eV/atom: -0.060

Lattice parameters (Å, degrees): 9.004 9.004 10.697 114.89 114.89 90.00
Positions (direct):
Rb  0.458  0.958  0.285
Rb  0.958  0.826  0.285
Rb  0.326  0.458  0.285
Rb  0.674  0.542  0.715
Rb  0.042  0.174  0.715
Rb  0.542  0.042  0.715
Rb  0.174  0.674  0.715
Rb  0.826  0.326  0.285
Na  0.500  0.500  0.000
Na  0.000  0.000  0.000
Au  0.250  0.250  0.500
Au  0.750  0.750  0.500

---

Record 7
## RbNa3Au (GGA-PBE)

Data for a geometry-optimized RbNa3Au structure.

Values from the calculation:
Symmetry: Pm-3m (221)
Total DFT energy (no corrections), eV/atom: -1.75
DOS at the Fermi energy, states/eV per atom: 0.455
Energy of formation from the pure elements, eV/atom: -0.109

Lattice parameters (Å, degrees): 5.856 5.856 5.856 90.00 90.00 90.00
Positions (direct):
Na  0.000  0.500  0.000
Na  0.000  0.000  0.500
Na  0.500  0.000  0.000
Au  0.000  0.000  0.000
Rb  0.500  0.500  0.500

---

Record 8
## Rb3NaAu (GGA-PBE)

Data for a geometry-optimized Rb3NaAu structure.

Values from the calculation:
Symmetry: Pm-3m (221)
Total DFT energy (no corrections), eV/atom: -1.58
DOS at the Fermi energy, states/eV per atom: 1.426
Energy of formation from the pure elements, eV/atom: -0.084

Lattice parameters (Å, degrees): 6.818 6.818 6.818 90.00 90.00 90.00
Positions (direct):
Na  0.500  0.500  0.500
Au  0.000  0.000  0.000
Rb  0.000  0.500  0.000
Rb  0.000  0.000  0.500
Rb  0.500  0.000  0.000

---

Record 9
## RbNa6Au2 (GGA-PBE)

Data for a geometry-optimized RbNa6Au2 structure.

Values from the calculation:
Symmetry: P4/mmm (123)
Total DFT energy (no corrections), eV/atom: -1.86
DOS at the Fermi energy, states/eV per atom: 0.209
Energy of formation from the pure elements, eV/atom: -0.147

Lattice parameters (Å, degrees): 5.021 5.021 11.699 90.00 90.00 90.00
Positions (direct):
Rb  0.000  0.000  0.000
Na  0.000  0.500  0.265
Na  0.500  0.000  0.265
Na  0.000  0.500  0.735
Na  0.500  0.000  0.735
Na  0.500  0.500  0.500
Na  0.000  0.000  0.500
Au  0.500  0.500  0.120
Au  0.500  0.500  0.880

---

Record 10
## RbNa12Au5 (GGA-PBE)

Data for a geometry-optimized RbNa12Au5 structure.

Values from the calculation:
Symmetry: Immm (71)
Total DFT energy (no corrections), eV/atom: -2.02
DOS at the Fermi energy, states/eV per atom: 0.313
Energy of formation from the pure elements, eV/atom: -0.179

Lattice parameters (Å, degrees): 8.988 8.988 8.988 96.07 110.55 122.90
Positions (direct):
Rb  0.000  0.500  0.500
Na  0.562  0.825  0.736
Na  0.438  0.175  0.264
Na  0.911  0.175  0.736
Na  0.089  0.825  0.264
Na  0.678  0.684  0.361
Na  0.322  0.316  0.639
Na  0.322  0.684  0.006
Na  0.678  0.316  0.994
Na  0.805  0.583  0.778
Na  0.195  0.417  0.222
Na  0.195  0.972  0.778
Na  0.805  0.028  0.222
Au  0.662  0.662  0.000
Au  0.338  0.338  0.000
Au  0.500  0.117  0.617
Au  0.500  0.883  0.383
Au  0.000  0.000  0.000

---

Record 11
## RbNa4Au2 (GGA-PBE)

Data for a geometry-optimized RbNa4Au2 structure.

Values from the calculation:
Symmetry: Cmmm (65)
Total DFT energy (no corrections), eV/atom: -2.02
DOS at the Fermi energy, states/eV per atom: 0.386
Energy of formation from the pure elements, eV/atom: -0.188

Lattice parameters (Å, degrees): 4.929 4.889 9.629 104.71 90.00 90.00
Positions (direct):
Rb  0.000  0.000  0.000
Na  0.500  0.827  0.653
Na  0.000  0.672  0.344
Na  0.500  0.173  0.347
Na  0.000  0.328  0.656
Au  0.500  0.576  0.152
Au  0.500  0.424  0.848

---

Record 12
## Rb8NaAu4 (GGA-PBE)

Data for a geometry-optimized Rb8NaAu4 structure.

Values from the calculation:
Symmetry: Cm (8)
Total DFT energy (no corrections), eV/atom: -1.85
DOS at the Fermi energy, states/eV per atom: 0.791
Energy of formation from the pure elements, eV/atom: -0.149

Lattice parameters (Å, degrees): 4.967 12.171 12.654 82.91 78.68 78.23
Positions (direct):
Rb  0.146  0.331  0.378
Rb  0.558  0.666  0.217
Rb  0.473  0.336  0.717
Rb  0.884  0.675  0.557
Rb  0.859  0.995  0.287
Rb  0.209  0.681  0.900
Rb  0.173  0.009  0.645
Rb  0.822  0.321  0.034
Na  0.516  0.001  0.966
Au  0.366  0.839  0.429
Au  0.843  0.511  0.802
Au  0.188  0.492  0.132
Au  0.666  0.165  0.504

---

Record 13
## RbNaAu (GGA-PBE)

Data for a geometry-optimized RbNaAu structure.

Values from the calculation:
Symmetry: P4/nmm (129)
Total DFT energy (no corrections), eV/atom: -2.07
DOS at the Fermi energy, states/eV per atom: 0.696
Energy of formation from the pure elements, eV/atom: -0.218

Lattice parameters (Å, degrees): 4.937 4.937 8.714 90.00 90.00 90.00
Positions (direct):
Rb  0.000  0.500  0.854
Rb  0.500  0.000  0.146
Na  0.500  0.500  0.500
Na  0.000  0.000  0.500
Au  0.000  0.500  0.288
Au  0.500  0.000  0.712

---

Record 14
## RbNaAu (GGA-PBE)

Data for a geometry-optimized RbNaAu structure.

Values from the calculation:
Symmetry: Ima2 (46)
Total DFT energy (no corrections), eV/atom: -2.07
DOS at the Fermi energy, states/eV per atom: 0.587
Energy of formation from the pure elements, eV/atom: -0.212

Lattice parameters (Å, degrees): 8.509 9.837 9.837 61.53 64.37 64.37
Positions (direct):
Rb  0.257  0.959  0.459
Rb  0.676  0.041  0.541
Rb  0.677  0.540  0.040
Rb  0.257  0.460  0.960
Rb  0.837  0.250  0.750
Rb  0.838  0.750  0.250
Na  0.494  0.500  0.500
Na  0.494  0.000  0.000
Na  0.257  0.882  0.881
Na  0.019  0.118  0.119
Na  0.019  0.619  0.618
Na  0.257  0.381  0.382
Au  0.257  0.749  0.249
Au  0.256  0.251  0.751
Au  0.590  0.667  0.667
Au  0.924  0.333  0.333
Au  0.924  0.833  0.833
Au  0.590  0.167  0.167

---

Record 15
## Rb3Na2Au4 (GGA-PBE)

Data for a geometry-optimized Rb3Na2Au4 structure.

Values from the calculation:
Symmetry: C2/m (12)
Total DFT energy (no corrections), eV/atom: -2.33
DOS at the Fermi energy, states/eV per atom: 0.357
Energy of formation from the pure elements, eV/atom: -0.258

Lattice parameters (Å, degrees): 4.724 6.716 10.426 97.06 90.00 110.59
Positions (direct):
Rb  0.371  0.741  0.623
Rb  0.000  0.000  0.000
Rb  0.629  0.259  0.377
Na  0.328  0.655  0.216
Na  0.672  0.345  0.784
Au  0.722  0.445  0.072
Au  0.079  0.158  0.617
Au  0.921  0.842  0.383
Au  0.278  0.555  0.928

---

Record 16
## Rb8Na2Au3 (GGA-PBE)

Data for a geometry-optimized Rb8Na2Au3 structure.

Values from the calculation:
Symmetry: C2/m (12)
Total DFT energy (no corrections), eV/atom: -1.67
DOS at the Fermi energy, states/eV per atom: 0.430
Energy of formation from the pure elements, eV/atom: -0.114

Lattice parameters (Å, degrees): 9.193 11.399 10.959 130.50 90.00 113.78
Positions (direct):
Rb  0.364  0.727  0.879
Rb  0.636  0.273  0.121
Rb  0.846  0.693  0.049
Rb  0.154  0.307  0.951
Rb  0.818  0.169  0.429
Rb  0.351  0.169  0.429
Rb  0.649  0.831  0.571
Rb  0.182  0.831  0.571
Na  0.831  0.661  0.696
Na  0.169  0.339  0.304
Au  0.000  0.000  0.500
Au  0.161  0.000  0.000
Au  0.839  0.000  0.000

---

Record 17
## RbNa3Au (GGA-PBE)

Data for a geometry-optimized RbNa3Au structure.

Values from the calculation:
Symmetry: Pc (7)
Total DFT energy (no corrections), eV/atom: -1.75
DOS at the Fermi energy, states/eV per atom: 0.429
Energy of formation from the pure elements, eV/atom: -0.105

Lattice parameters (Å, degrees): 7.186 6.610 8.455 89.99 90.11 89.96
Positions (direct):
Rb  0.400  0.302  0.702
Rb  0.900  0.051  0.201
Na  0.370  0.321  0.202
Na  0.450  0.795  0.983
Na  0.950  0.557  0.483
Na  0.870  0.032  0.701
Na  0.950  0.559  0.918
Na  0.451  0.795  0.418
Au  0.208  0.791  0.700
Au  0.708  0.561  0.200

---

Record 18
## RbNaAu2 (GGA-PBE)

Data for a geometry-optimized RbNaAu2 structure.

Values from the calculation:
Symmetry: P4/mmm (123)
Total DFT energy (no corrections), eV/atom: -2.37
DOS at the Fermi energy, states/eV per atom: 0.092
Energy of formation from the pure elements, eV/atom: -0.163

Lattice parameters (Å, degrees): 3.829 5.564 5.564 90.00 90.00 90.00
Positions (direct):
Na  0.500  0.500  0.500
Au  0.000  0.000  0.500
Au  0.000  0.500  0.000
Rb  0.500  0.000  0.000

---

Record 19
## Rb2Na9Au3 (GGA-PBE)

Data for a geometry-optimized Rb2Na9Au3 structure.

Values from the calculation:
Symmetry: C2/c (15)
Total DFT energy (no corrections), eV/atom: -1.84
DOS at the Fermi energy, states/eV per atom: 0.342
Energy of formation from the pure elements, eV/atom: -0.150

Lattice parameters (Å, degrees): 9.527 9.527 12.818 89.84 110.36 122.38
Positions (direct):
Rb  0.370  0.247  0.755
Rb  0.630  0.753  0.245
Rb  0.992  0.615  0.745
Rb  0.008  0.385  0.255
Na  0.465  0.923  0.750
Na  0.535  0.077  0.250
Na  0.673  0.715  0.750
Na  0.327  0.285  0.250
Na  0.432  0.625  0.925
Na  0.568  0.375  0.075
Na  0.200  0.506  0.575
Na  0.800  0.494  0.425
Na  0.926  0.176  0.750
Na  0.074  0.824  0.250
Na  0.157  0.005  0.975
Na  0.843  0.995  0.025
Na  0.530  0.182  0.525
Na  0.470  0.818  0.475
Na  0.869  0.861  0.556
Na  0.131  0.139  0.444
Na  0.805  0.313  0.944
Na  0.195  0.687  0.056
Au  0.500  0.000  0.000
Au  0.500  0.500  0.500
Au  0.832  0.161  0.486
Au  0.168  0.839  0.514
Au  0.176  0.346  0.014
Au  0.824  0.654  0.986